(1)
A plane-wave DFT calculation with PBE was carried out for an optimized crystal structure of TaMnCr2H.

Results
The volume is 70.4 Å³/cell. The energy comes out at -7.302 eV/atom. Its crystal system is tetragonal.

Lattice parameters (Å, degrees): 4.6834 3.2109 4.6834 90.00 90.00 90.00
Sites, in units of the cell vectors:
Mn: 0.5000 0.5000 0.5000
Cr: 0.0000 0.0000 0.5000
Cr: 0.5000 0.0000 0.0000
H: 0.0000 0.5000 0.0000
Ta: 0.0000 0.0000 0.0000

(2)
A plane-wave DFT calculation with PBE was carried out for an optimized crystal structure of MnCrTc2H.

Results
The volume is 55.8 Å³/cell. The energy comes out at -8.468 eV/atom. Its crystal system is tetragonal.

Lattice parameters (Å, degrees): 3.8621 3.8621 3.7427 90.00 90.00 90.00
Sites, in units of the cell vectors:
Tc: 0.0000 0.5000 0.0000
Tc: 0.5000 0.0000 0.0000
Mn: 0.5000 0.5000 0.5000
H: 0.0000 0.0000 0.0000
Cr: 0.0000 0.0000 0.5000

(3)
A plane-wave DFT calculation with PBE was carried out for an optimized crystal structure of Mn2CrTcH.

Results
The volume is 49.8 Å³/cell. The energy comes out at -8.257 eV/atom. Its crystal system is tetragonal.

Lattice parameters (Å, degrees): 3.6641 3.6641 3.7084 90.00 90.00 90.00
Sites, in units of the cell vectors:
Cr: 0.0000 0.0000 0.5000
Tc: 0.5000 0.5000 0.5000
Mn: 0.5000 0.0000 0.0000
Mn: 0.0000 0.5000 0.0000
H: 0.0000 0.0000 0.0000

(4)
A plane-wave DFT calculation with PBE was carried out for an optimized crystal structure of MnCr2TcH.

Results
The volume is 51.3 Å³/cell. The energy comes out at -8.323 eV/atom. Its crystal system is tetragonal.

Lattice parameters (Å, degrees): 3.7442 3.7442 3.6606 90.00 90.00 90.00
Sites, in units of the cell vectors:
Tc: 0.5000 0.5000 0.5000
Cr: 0.5000 0.0000 0.0000
Cr: 0.0000 0.5000 0.0000
H: 0.0000 0.0000 0.0000
Mn: 0.0000 0.0000 0.5000

(5)
A plane-wave DFT calculation with PBE was carried out for an optimized crystal structure of MnCrTc2H.

Results
The volume is 55.4 Å³/cell. The energy comes out at -8.467 eV/atom. Its crystal system is tetragonal.

Lattice parameters (Å, degrees): 3.8692 3.8692 3.7007 90.00 90.00 90.00
Sites, in units of the cell vectors:
Tc: 0.0000 0.5000 0.0000
Tc: 0.5000 0.0000 0.0000
H: 0.0000 0.0000 0.0000
Mn: 0.0000 0.0000 0.5000
Cr: 0.5000 0.5000 0.5000

(6)
A plane-wave DFT calculation with PBE was carried out for an optimized crystal structure of Mn2CrTcH.

Results
The volume is 52.0 Å³/cell. The energy comes out at -8.245 eV/atom. Its crystal system is tetragonal.

Lattice parameters (Å, degrees): 3.6801 3.6801 3.8399 90.00 90.00 90.00
Sites, in units of the cell vectors:
Mn: 0.5000 0.0000 0.0000
Mn: 0.0000 0.5000 0.0000
H: 0.0000 0.0000 0.0000
Tc: 0.0000 0.0000 0.5000
Cr: 0.5000 0.5000 0.5000

Look up the energy of the third one.
-8.257 eV/atom

Which of these has the lowest energy?
number 2

Which value of energy does entry 5 give?
-8.467 eV/atom